Material: Tb4Pr3Nd3
Method: DFT, PBE
State: relaxed

a b c (Å): 3.711 9.711 9.711
angles (deg): 89.98 90.00 90.00
Fractional positions:
Tb: 0.000 0.000 0.000
Tb: 0.000 0.247 0.247
Tb: 0.000 0.501 0.748
Tb: 0.000 0.748 0.501
Pr: 0.500 0.298 0.949
Pr: 0.500 0.449 0.449
Pr: 0.500 0.949 0.298
Nd: 0.000 0.123 0.624
Nd: 0.000 0.624 0.123
Nd: 0.500 0.799 0.799

Magnetization ... 0.32 μB/cell
Uncorrected energy ... -4.622 eV/atom
ΔE_f ... 95 meV/atom